A plane-wave DFT calculation with PBE was carried out for crystalline FeReGeAu at its relaxed geometry.

Output
As for the space group: F-43m (216). As for the volume: 60 Å³/f.u. The relative energy among the computed polymorphs comes out at 0 meV per atom. As for the total magnetic moment: 2.5 μB/f.u.

a = 4.3862 Å, b = 4.3862 Å, c = 4.3862 Å
α = 60.00°, β = 60.00°, γ = 60.00°
With the nearest neighbours (Å) after each atom.
Fractional coordinates of all 4 atoms:
Au1 0.5000 0.5000 0.5000  4 Fe 2.69, 4 Re 2.69
Fe1 0.7500 0.7500 0.7500  4 Au 2.69, 4 Ge 2.69
Ge1 0.0000 0.0000 0.0000  4 Fe 2.69, 4 Re 2.69
Re1 0.2500 0.2500 0.2500  4 Au 2.69, 4 Ge 2.69

***

A plane-wave DFT calculation with PBE was carried out for crystalline FeGeAuSe3 at its relaxed geometry.

Output
As for the space group: Cmcm (63). As for the volume: 126 Å³/f.u. For the total energy, the calculation gives -27.43 eV/f.u. As for the total magnetic moment: 1.8 μB/f.u.

a = 7.4224 Å, b = 7.4224 Å, c = 9.7995 Å
α = 90.00°, β = 90.00°, γ = 152.29°
With the nearest neighbours (Å) after each atom.
Fractional coordinates of all 12 atoms:
Au1 0.3050 0.6950 0.2500  2 Se 2.56, 2 Ge 2.67
Au2 0.6950 0.3050 0.7500  2 Se 2.56, 2 Ge 2.67
Fe1 0.0000 0.0000 0.0000  6 Se 2.43-2.50
Fe2 0.0000 0.0000 0.5000  6 Se 2.43-2.50
Ge1 0.6670 0.3330 0.2500  4 Se 2.60-2.73, 2 Au 2.67
Ge2 0.3330 0.6670 0.7500  4 Se 2.60-2.73, 2 Au 2.67
Se1 0.3853 0.6147 0.0173  2 Fe 2.43, 1 Au 2.56
Se2 0.0353 0.9647 0.2500  2 Fe 2.50, 2 Ge 2.60
Se3 0.3853 0.6147 0.4827  2 Fe 2.43, 1 Au 2.56
Se4 0.6147 0.3853 0.5173  2 Fe 2.43, 1 Au 2.56
Se5 0.9647 0.0353 0.7500  2 Fe 2.50, 2 Ge 2.60
Se6 0.6147 0.3853 0.9827  2 Fe 2.43, 1 Au 2.56

***

A plane-wave DFT calculation with PBE was carried out for crystalline TaFeGeAu at its relaxed geometry.

Output
As for the space group: F-43m (216). As for the volume: 64 Å³/f.u. The relative energy among the computed polymorphs comes out at 138 meV per atom. As for the total magnetic moment: 1.2 μB/f.u.

a = 4.4918 Å, b = 4.4918 Å, c = 4.4918 Å
α = 60.00°, β = 60.00°, γ = 60.00°
With the nearest neighbours (Å) after each atom.
Fractional coordinates of all 4 atoms:
Au1 0.2500 0.2500 0.2500  4 Ge 2.75, 4 Ta 2.75
Fe1 0.7500 0.7500 0.7500  4 Ge 2.75, 4 Ta 2.75
Ge1 0.0000 0.0000 0.0000  4 Au 2.75, 4 Fe 2.75
Ta1 0.5000 0.5000 0.5000  4 Fe 2.75, 4 Au 2.75

***

Question: total magnetic moment of number 1 (FeReGeAu)?
Answer: 2.5 μB/f.u.

***

Question: Which value of total magnetic moment does entry 1 give?
Answer: 2.5 μB/f.u.

***

Question: What is the total magnetic moment in the third record?
Answer: 1.2 μB/f.u.